The following is a PBE with a Hubbard U calculation of a geometry-optimized LiPa2CoO8 structure, from Alexandria.

The calculation puts the size of the total moment at 1.69 μB per formula unit. As for the total energy: -91.5 eV per cell.

The structure belongs to space group P-3m1 (No. 164); the cell edges are 5.0597, 5.0597 and 6.9942 Å and the angles 90.00°, 90.00° and 120.00°. The inequivalent atoms are Li at (0.0000, 0.0000, 0.0000), Pa at (0.3333, 0.6667, 0.3437), Co at (0.0000, 0.0000, 0.5000), O at (0.1712, 0.3423, 0.6490) and O at (0.3333, 0.6667, 0.0765).